[1]
Material: Eu3In
Method: DFT, PBE
State: relaxed

Cell lengths 4.150, 11.906, 5.746 Å; angles 90.00, 90.00, 90.00 degrees
Element x y z (fractional)
Eu: 0.000 0.000 0.000
Eu: 0.000 0.221 0.499
Eu: 0.000 0.779 0.499
Eu: 0.500 0.279 0.999
Eu: 0.500 0.500 0.500
Eu: 0.500 0.721 0.999
In: 0.000 0.500 0.001
In: 0.500 0.000 0.501

Results
**Fermi-level density of states**: 13.446 states/eV/cell
**Formation energy from the elements**: -242 meV/atom


[2]
Material: Eu3In
Method: DFT, PBE
State: relaxed

Cell lengths 7.342, 7.342, 5.799 Å; angles 90.00, 90.00, 120.00 degrees
Element x y z (fractional)
Eu: 0.174 0.348 0.250
Eu: 0.174 0.826 0.250
Eu: 0.348 0.174 0.750
Eu: 0.652 0.826 0.250
Eu: 0.826 0.174 0.750
Eu: 0.826 0.652 0.750
In: 0.333 0.667 0.750
In: 0.667 0.333 0.250

Results
**Fermi-level density of states**: 22.163 states/eV/cell
**Formation energy from the elements**: -248 meV/atom


[3]
Material: EuInIr4
Method: DFT, PBE
State: relaxed

Cell lengths 5.351, 5.351, 5.351 Å; angles 60.00, 60.00, 60.00 degrees
Element x y z (fractional)
Eu: 0.000 0.000 0.000
In: 0.750 0.750 0.750
Ir: 0.375 0.375 0.375
Ir: 0.375 0.375 0.874
Ir: 0.375 0.874 0.375
Ir: 0.874 0.375 0.375

Results
**Fermi-level density of states**: 11.076 states/eV/cell
**Formation energy from the elements**: -198 meV/atom


[4]
Material: EuInIr
Method: DFT, PBE
State: relaxed

Cell lengths 4.611, 4.611, 4.001 Å; angles 90.00, 90.00, 120.00 degrees
Element x y z (fractional)
Eu: 0.000 0.000 0.000
In: 0.667 0.333 0.500
Ir: 0.333 0.667 0.500

Results
**Fermi-level density of states**: 9.616 states/eV/cell
**Formation energy from the elements**: -286 meV/atom


[5]
Material: Eu2InIr
Method: DFT, PBE
State: relaxed

Cell lengths 7.380, 7.380, 7.380 Å; angles 90.00, 90.00, 90.00 degrees
Element x y z (fractional)
Eu: 0.250 0.250 0.250
Eu: 0.250 0.250 0.750
Eu: 0.250 0.750 0.250
Eu: 0.250 0.750 0.750
Eu: 0.750 0.250 0.250
Eu: 0.750 0.250 0.750
Eu: 0.750 0.750 0.250
Eu: 0.750 0.750 0.750
In: 0.000 0.000 0.000
In: 0.000 0.500 0.500
In: 0.500 0.000 0.500
In: 0.500 0.500 0.000
Ir: 0.000 0.000 0.500
Ir: 0.000 0.500 0.000
Ir: 0.500 0.000 0.000
Ir: 0.500 0.500 0.500

Results
**Fermi-level density of states**: 54.660 states/eV/cell
**Formation energy from the elements**: -253 meV/atom
**Relative energy among the computed polymorphs**: 97 meV per atom


[6]
Material: EuIn4Ir
Method: DFT, PBE
State: relaxed

Cell lengths 8.852, 8.852, 7.439 Å; angles 90.00, 90.00, 150.20 degrees
Element x y z (fractional)
Eu: 0.127 0.873 0.750
Eu: 0.873 0.127 0.250
In: 0.068 0.932 0.250
In: 0.316 0.684 0.548
In: 0.316 0.684 0.952
In: 0.500 0.500 0.000
In: 0.500 0.500 0.500
In: 0.684 0.316 0.048
In: 0.684 0.316 0.452
In: 0.932 0.068 0.750
Ir: 0.225 0.775 0.250
Ir: 0.775 0.225 0.750

Results
**Fermi-level density of states**: 22.878 states/eV/cell
**Formation energy from the elements**: -364 meV/atom


[7]
Material: EuInIr
Method: DFT, PBE
State: relaxed

Cell lengths 6.731, 6.731, 6.731 Å; angles 90.00, 90.00, 90.00 degrees
Element x y z (fractional)
Eu: 0.000 0.000 0.000
Eu: 0.000 0.500 0.500
Eu: 0.500 0.000 0.500
Eu: 0.500 0.500 0.000
In: 0.000 0.000 0.500
In: 0.000 0.500 0.000
In: 0.500 0.000 0.000
In: 0.500 0.500 0.500
Ir: 0.250 0.250 0.750
Ir: 0.250 0.750 0.250
Ir: 0.750 0.250 0.250
Ir: 0.750 0.750 0.750

Results
**Fermi-level density of states**: 33.005 states/eV/cell
**Formation energy from the elements**: -303 meV/atom


[8]
Material: Eu2InIr
Method: DFT, PBE
State: relaxed

Cell lengths 3.965, 3.965, 30.437 Å; angles 90.00, 90.00, 120.00 degrees
Element x y z (fractional)
Eu: 0.000 0.000 0.112
Eu: 0.000 0.000 0.888
Eu: 0.333 0.667 0.555
Eu: 0.333 0.667 0.779
Eu: 0.667 0.333 0.221
Eu: 0.667 0.333 0.445
In: 0.000 0.000 0.000
In: 0.333 0.667 0.667
In: 0.667 0.333 0.333
Ir: 0.000 0.000 0.500
Ir: 0.333 0.667 0.167
Ir: 0.667 0.333 0.833

Results
**Fermi-level density of states**: 33.643 states/eV/cell
**Formation energy from the elements**: -29 meV/atom
**Relative energy among the computed polymorphs**: 322 meV per atom


Q: What is the formation energy from the elements in the eighth record?
A: -29 meV/atom


Q: Which of these has the highest Fermi-level density of states?
A: number 5


Q: What is the Fermi-level density of states in the third record?
A: 11.076 states/eV/cell